Material: TmMgMoO4
Method: DFT, PBE+U
State: relaxed

Results
Magnetization = 3.0 μB per formula unit
SG = Imma (74)
DFT total energy = -7.328 eV per atom
Volume = 13.33 Å³/atom

Geometry as CIF:
```
data_TmMgMoO4
_cell_length_a 6.3969
_cell_length_b 6.3988
_cell_length_c 6.3988
_cell_angle_alpha 61.06
_cell_angle_beta 60.01
_cell_angle_gamma 60.01
_symmetry_space_group_name_H-M 'P 1'
_symmetry_Int_Tables_number 1
_symmetry_space_group_name_Hall 'P 1'
loop_
_atom_site_label
_atom_site_type_symbol
_atom_site_fract_x
_atom_site_fract_y
_atom_site_fract_z
O1 O 0.7556 0.7567 0.2567
O2 O 0.2310 0.7567 0.2567
O3 O 0.7690 0.2433 0.7433
O4 O 0.2504 0.2326 0.2667
O5 O 0.7496 0.2333 0.2674
O6 O 0.2504 0.7667 0.7326
O7 O 0.2444 0.2433 0.7433
O8 O 0.7496 0.7674 0.7333
Tm1 Tm 0.0000 0.0000 0.0000
Tm2 Tm 0.0000 0.5000 0.5000
Mg1 Mg 0.3803 0.3697 0.8697
Mg2 Mg 0.6197 0.6303 0.1303
Mo1 Mo 0.5000 0.0000 0.5000
Mo2 Mo 0.0000 0.0000 0.5000
```